[1]
The following is a PBE calculation of a relaxed FeRe2Br crystal, from the Alexandria database.

Cell and atoms, written as POSCAR:
```
FeRe2Br
1.0
-0.009 3.272 2.981
-3.785 1.204 1.954
-0.667 -0.908 4.281
Br Re Fe
1 2 1
Direct
0.500 0.500 0.500 Br
0.250 0.250 0.250 Re
0.000 0.000 0.000 Re
0.750 0.750 0.750 Fe
```

total magnetization: 2.32 μB per cell
uncorrected formation energy: 1.17 eV/atom
symmetry: F-43m, No. 216
energy: -7.584 eV per atom
energy relative to the lowest polymorph listed for this composition: 648 meV per atom
DOS(E_F): 4.72 states/eV/cell

***

[2]
The following is a PBE calculation of a relaxed FeRe2Br crystal, from the Alexandria database.

Cell and atoms, written as POSCAR:
```
FeRe2Br
1.0
-0.931 -2.440 1.189
2.156 -2.433 -3.305
3.833 -0.180 2.634
Br Re Fe
1 2 1
Direct
0.500 0.000 0.500 Br
0.500 0.500 0.000 Re
0.000 0.000 0.000 Re
0.000 0.500 0.500 Fe
```

total magnetization: 2.56 μB per cell
uncorrected formation energy: 1.09 eV/atom
symmetry: Pmmm, No. 47
energy: -7.672 eV per atom
energy relative to the lowest polymorph listed for this composition: 559 meV per atom
DOS(E_F): 4.16 states/eV/cell

***

[3]
The following is a PBE calculation of a relaxed ScFe2ReBr crystal, from the Alexandria database.

Cell and atoms, written as POSCAR:
```
ScFe2ReBr
1.0
4.336 0.000 0.000
0.000 4.836 0.000
0.000 0.000 4.336
Br Sc Fe Re
1 1 2 1
Direct
0.000 0.000 0.000 Br
0.000 0.500 0.000 Sc
0.500 0.000 0.000 Fe
0.000 0.000 0.500 Fe
0.500 0.500 0.500 Re
```

total magnetization: 6.54 μB per cell
uncorrected formation energy: 1.26 eV/atom
symmetry: P4/mmm, No. 123
energy: -6.214 eV per atom
DOS(E_F): 6.35 states/eV/cell

***

[4]
The following is a PBE calculation of a relaxed FeReSeBr2 crystal, from the Alexandria database.

Cell and atoms, written as POSCAR:
```
FeReSeBr2
1.0
5.263 0.000 0.000
0.000 5.263 0.000
0.000 0.000 4.718
Re Br Fe Se
1 2 1 1
Direct
0.000 0.000 0.000 Re
0.000 0.500 0.000 Br
0.500 0.000 0.000 Br
0.500 0.500 0.500 Fe
0.000 0.000 0.500 Se
```

total magnetization: 4.77 μB per cell
uncorrected formation energy: 0.94 eV/atom
symmetry: P4/mmm, No. 123
energy: -4.611 eV per atom
energy relative to the lowest polymorph listed for this composition: 0 meV per atom
DOS(E_F): 9.37 states/eV/cell